[1]
Computed, not measured: an optimized crystal structure of Pm3ScPt3 at the PBE level of DFT.

Lattice parameters (Å, degrees): 9.2821 10.5144 7.1621 90.00 91.41 90.00
Last column: nearest neighbours and their distance in Å.
Space group C2/m (No. 12)
Inequivalent atoms, fractional coordinates:
Pm (0.0000, 0.1742, 0.0000) (multiplicity 4)  6 Pt 2.85-2.96
Pm (0.0000, 0.2573, 0.5000) (multiplicity 4)  6 Pt 3.05-3.21
Pm (0.1633, 0.5000, 0.8855) (multiplicity 4)  3 Pt 2.94-3.20
Sc (0.2401, 0.0000, 0.6189) (multiplicity 4)  4 Pt 2.60-2.88
Pt (0.0640, 0.0000, 0.3137) (multiplicity 4)  2 Sc 2.70-2.88, 3 Pm 2.94-2.95, 1 Pt 2.95
Pt (0.2344, 0.2822, 0.2111) (multiplicity 8)  1 Sc 2.60, 1 Pm 2.85

**Raw total energy**: -6.471 eV per atom
**Theoretical density**: 10.13 g/cm³
**Crystal system**: monoclinic
**DOS(E_F)**: 23.69 states/eV per cell
**ΔE_f**: -21.71 kcal/mol of atoms

---

[2]
Computed, not measured: an optimized crystal structure of PmSc2Pt at the PBE level of DFT.

Lattice parameters (Å, degrees): 4.5812 11.5780 7.3458 90.00 90.00 90.00
Last column: nearest neighbours and their distance in Å.
Space group Cmcm (No. 63)
Inequivalent atoms, fractional coordinates:
Pm (0.0000, 0.0526, 0.2500) (multiplicity 4)  1 Pt 2.92
Sc (0.0000, 0.3445, 0.0415) (multiplicity 8)  3 Pt 2.72-2.80
Pt (0.0000, 0.1999, 0.7500) (multiplicity 4)  6 Sc 2.72-2.80, 1 Pm 2.92

**Raw total energy**: -6.555 eV per atom
**Theoretical density**: 7.33 g/cm³
**Crystal system**: orthorhombic
**DOS(E_F)**: 22.42 states/eV per cell
**ΔE_f**: -15.95 kcal/mol of atoms